(1)
{
  "formula": "MgRhI",
  "functional": "PBE",
  "state": "relaxed",
  "crystal_system": "tetragonal",
  "e_above_lowest_polymorph_mev_per_atom": 591,
  "vol_a3_per_cell": 148,
  "total_magnetization_mub_per_fu": 0.0,
  "formation_energy_uncorrected_ev_per_atom": 0.180,
  "lattice": [[5.2564, 0.0000, 0.0000], [0.0000, 5.2564, 0.0000], [0.0000, 0.0000, 5.3399]],
  "species": ["Rh", "Rh", "I", "Mg", "I", "Mg"],
  "frac_coords": [[0.0000, 0.5000, 0.3644], [0.5000, 0.0000, 0.6356], [0.5000, 0.5000, 0.5000], [0.0000, 0.5000, 0.8805], [0.0000, 0.0000, 0.5000], [0.5000, 0.0000, 0.1195]]
}


(2)
{
  "formula": "Mg2RhI",
  "functional": "PBE",
  "state": "relaxed",
  "crystal_system": "tetragonal",
  "e_above_lowest_polymorph_mev_per_atom": 0,
  "vol_a3_per_cell": 247,
  "total_magnetization_mub_per_fu": 0.0,
  "formation_energy_uncorrected_ev_per_atom": 0.094,
  "lattice": [[-2.5069, -0.4340, 6.1523], [5.9972, -1.7217, 2.3223], [2.9510, 4.2966, 5.1078]],
  "species": ["Rh", "Mg", "Rh", "Mg", "I", "Mg", "Mg", "I"],
  "frac_coords": [[0.5000, 0.5000, 0.0000], [0.3750, 0.4349, 0.7500], [0.2500, 0.7500, 0.5000], [0.8750, 0.8151, 0.7500], [0.7500, 0.2500, 0.5000], [0.5651, 0.1250, 0.2500], [0.1849, 0.6250, 0.2500], [0.0000, 0.0000, 0.0000]]
}


(3)
{
  "formula": "MgRhI",
  "functional": "PBE",
  "state": "relaxed",
  "crystal_system": "triclinic",
  "e_above_lowest_polymorph_mev_per_atom": 44,
  "vol_a3_per_cell": 149,
  "total_magnetization_mub_per_fu": 0.0,
  "formation_energy_uncorrected_ev_per_atom": -0.367,
  "lattice": [[3.7161, -0.0184, -0.0040], [1.8190, 10.0222, -0.0925], [-0.0015, -0.5645, 4.0056]],
  "species": ["I", "Rh", "I", "Mg", "Mg", "Rh"],
  "frac_coords": [[0.9773, 0.6089, 0.2605], [0.2485, 0.0618, 0.5781], [0.6496, 0.2674, 0.6447], [0.3652, 0.8123, 0.9585], [0.7501, 0.0577, 0.0700], [0.8385, 0.8685, 0.4843]]
}